The following is a PBE calculation of BIr3O after structural relaxation, from the Alexandria database.

Cell and atoms, written as CIF:
```
data_BIr3O
_chemical_formula_sum 'B1 Ir3 O1'
_space_group_name_H-M_alt 'P m -3 m'
_space_group_IT_number 221
_space_group_name_Hall '-P 4 2 3'
_cell_length_a 4.089
_cell_length_b 4.089
_cell_length_c 4.089
_cell_angle_alpha 90.00
_cell_angle_beta 90.00
_cell_angle_gamma 90.00
loop_
_atom_site_label
_atom_site_type_symbol
_atom_site_fract_x
_atom_site_fract_y
_atom_site_fract_z
B1 B 0.000 0.000 0.000
Ir1 Ir 0.000 0.000 0.500
O1 O 0.500 0.500 0.500
```

Results
The volume comes out at 13.67 Å³ per atom. The spin magnetization is 2.96 μB per formula unit. The excess energy over the best structure of this formula in the dataset comes out at 0.0 meV/atom. Its total DFT energy (no corrections) is -6.677 eV/atom. For the density of states at the Fermi level, the calculation gives 5.861 states/eV/f.u. The uncorrected formation energy is 4.8 eV per formula unit.